Record 1
DFT (PBE) results for a geometry-optimized Pm3BiB structure.

The space group is Pm-3m (No. 221) and the conventional cell measures 5.192, 5.192 and 5.192 Å, with angles of 90.00, 90.00 and 90.00 degrees. The distinct sites, in fractional coordinates, are Pm at (0.000, 0.000, 0.500), Bi at (0.500, 0.500, 0.500) and B at (0.000, 0.000, 0.000).

As for the total energy: -26.81 eV per cell.


Record 2
DFT (PBE) results for a geometry-optimized Pr3BiB structure.

The space group is Pm-3m (No. 221) and the conventional cell measures 5.279, 5.279 and 5.279 Å, with angles of 90.00, 90.00 and 90.00 degrees. The distinct sites, in fractional coordinates, are Pr at (0.000, 0.000, 0.500), Bi at (0.500, 0.500, 0.500) and B at (0.000, 0.000, 0.000).

As for the total energy: -26.68 eV per cell.


Record 3
DFT (PBE) results for a geometry-optimized PrBiB structure.

The space group is C2/m (No. 12) and the conventional cell measures 11.321, 3.834 and 6.863 Å, with angles of 90.00, 98.24 and 90.00 degrees. The distinct sites, in fractional coordinates, are Pr at (0.131, 0.000, 0.329), Bi at (0.145, 0.000, 0.809) and B at (0.063, 0.500, 0.580).

As for the total energy: -64.15 eV per cell.


Respective formation energy from the elements values: -0.40 -0.36 -0.23 eV/atom.